# 1
Compound: KSr2Se
Source: Alexandria
Functional: PBE
Structure: relaxed

Structure (POSCAR):
```
KSr2Se
1.0
-6.7704 3.3872 -1.8749
-3.8046 -2.0363 -6.4965
2.9275 -1.9463 6.9619
Sr Se K
2 1 1
Direct
0.0807 0.0807 0.0000 Sr
0.4193 0.4193 0.0000 Sr
0.2500 0.7500 0.5000 Se
0.7500 0.2500 0.5000 K
```

Output
space-group type: No. 71
crystal system: orthorhombic

=====

# 2
Compound: K2Sr2Se
Source: Alexandria
Functional: PBE
Structure: relaxed

Structure (POSCAR):
```
K2Sr2Se
1.0
-7.4942 -0.9985 3.4921
0.6370 -8.2443 -0.9902
3.3928 -0.5920 7.1119
K Sr Se
4 4 2
Direct
0.1692 0.6692 0.5000 K
0.3308 0.1692 0.5000 K
0.6692 0.8308 0.5000 K
0.8308 0.3308 0.5000 K
0.3160 0.8160 0.0000 Sr
0.1840 0.3160 0.0000 Sr
0.6840 0.1840 0.0000 Sr
0.8160 0.6840 0.0000 Sr
0.5000 0.5000 0.0000 Se
0.0000 0.0000 0.0000 Se
```

Output
space-group type: No. 127
crystal system: tetragonal

=====

# 3
Compound: KSr2Se
Source: Alexandria
Functional: PBE
Structure: relaxed

Structure (POSCAR):
```
KSr2Se
1.0
5.4683 0.0048 0.0000
0.0002 5.4683 0.0000
0.0000 0.0000 5.2472
Sr K Se
2 1 1
Direct
0.0000 0.0000 0.0000 Sr
0.5000 0.5000 0.0000 Sr
0.5000 0.0000 0.5000 K
0.0000 0.5000 0.5000 Se
```

Output
space-group type: No. 65
crystal system: orthorhombic

=====

# 4
Compound: K4SrSe2
Source: Alexandria
Functional: PBE
Structure: relaxed

Structure (POSCAR):
```
K4SrSe2
1.0
-4.7260 -4.0551 1.9022
-1.1336 -1.5923 -6.2110
3.0148 -9.4622 -1.5375
Se K Sr
2 4 1
Direct
0.3963 0.3963 0.2073 Se
0.6037 0.6037 0.7927 Se
0.7749 0.7749 0.4501 K
0.0000 0.5000 0.0000 K
0.5000 0.0000 0.0000 K
0.2251 0.2251 0.5499 K
0.0000 0.0000 0.0000 Sr
```

Output
space-group type: No. 139
crystal system: tetragonal

=====

| no. | formation energy (no corrections) (eV per atom) |
| --- | --- |
| 1 | -0.81 |
| 2 | -0.54 |
| 3 | -0.43 |
| 4 | -0.12 |